Here is a geometry-optimized Fe4Ir3Pd structure from the Alexandria database. Energies are from PBE-GGA.

Lattice parameters (Å, degrees): 3.678 3.805 7.586 90.00 90.00 90.00
Space group Pmmm (No. 47)
Inequivalent atoms, fractional coordinates:
Fe: 0.000 0.000 0.000 x1
Fe: 0.000 0.000 0.500 x1
Fe: 0.000 0.500 0.244 x2
Ir: 0.500 0.000 0.247 x2
Ir: 0.500 0.500 0.000 x1
Pd: 0.500 0.500 0.500 x1

Computed properties:
Its crystal system is orthorhombic. For the raw total energy, the calculation gives -8.2117 eV per atom. As for the formation energy: -0.067 eV per formula unit.